Sm2Mg2Fe | GGA-PBE | optimized geometry

Lattice parameters (Å, degrees): 11.2078 7.1186 13.0315 59.24 33.08 87.68
With the nearest neighbours (Å) after each atom.
Positions (direct):
Sm  0.1009  0.8281  0.4064  2 Fe 2.56-2.57
Sm  0.5855  0.8436  0.4219  2 Fe 2.56-2.57
Sm  0.8281  0.1009  0.6645  2 Fe 2.56-2.57
Sm  0.8436  0.5855  0.1491  2 Fe 2.56-2.57
Mg  0.4939  0.2805  0.2380  1 Fe 2.58
Mg  0.2624  0.0120  0.9695  1 Fe 2.58
Mg  0.2805  0.4939  0.9876  1 Fe 2.58
Mg  0.0120  0.2624  0.7561  1 Fe 2.58
Fe  0.4658  0.4658  0.0342  4 Sm 2.56-2.57, 2 Mg 2.58
Fe  0.2158  0.2158  0.7842  4 Sm 2.56-2.57, 2 Mg 2.58

Calculated values
- Electronic total energy: -0.1457 Ha/atom
- Space-group type: Fdd2 (43)
- Total magnetic moment: 0.01 μB/f.u.